Density functional theory data (GGA-PBE) for Dy8In2Cu after structural relaxation.

Calculated values
Formation energy from the elements in eV/atom: -0.183
DOS(E_F) in states/eV/cell: 10.67
Mass density in kg/m3: 8517
SG: No. 12

Lattice parameters (Å, degrees): 9.595 9.595 6.709 102.60 102.60 31.09
Element x y z (fractional)
1 Dy 0.016 0.016 0.274
2 Dy 0.206 0.206 0.797
3 Dy 0.352 0.352 0.527
4 Dy 0.408 0.408 0.043
5 Dy 0.592 0.592 0.957
6 Dy 0.648 0.648 0.473
7 Dy 0.794 0.794 0.203
8 Dy 0.984 0.984 0.726
9 In 0.187 0.187 0.247
10 In 0.813 0.813 0.753
11 Cu 0.500 0.500 0.500

Density functional theory data (GGA-PBE) for Dy5InCu4 after structural relaxation.

Calculated values
Formation energy from the elements in eV/atom: -0.291
DOS(E_F) in states/eV/cell: 7.36
Mass density in kg/m3: 8917
SG: No. 123

Lattice parameters (Å, degrees): 3.469 3.469 18.283 90.00 90.00 90.00
Element x y z (fractional)
1 Dy 0.000 0.000 0.000
2 Dy 0.000 0.000 0.190
3 Dy 0.000 0.000 0.380
4 Dy 0.000 0.000 0.620
5 Dy 0.000 0.000 0.810
6 In 0.500 0.500 0.500
7 Cu 0.500 0.500 0.095
8 Cu 0.500 0.500 0.286
9 Cu 0.500 0.500 0.714
10 Cu 0.500 0.500 0.905

Density functional theory data (GGA-PBE) for Dy2InCu after structural relaxation.

Calculated values
Formation energy from the elements in eV/atom: 0.140
DOS(E_F) in states/eV/cell: 14.84
Mass density in kg/m3: 7529
SG: No. 166

Lattice parameters (Å, degrees): 3.494 3.494 31.509 90.00 90.00 120.00
Element x y z (fractional)
1 Dy 0.000 0.000 0.102
2 Dy 0.000 0.000 0.898
3 Dy 0.333 0.667 0.565
4 Dy 0.333 0.667 0.769
5 Dy 0.667 0.333 0.231
6 Dy 0.667 0.333 0.435
7 In 0.000 0.000 0.000
8 In 0.333 0.667 0.667
9 In 0.667 0.333 0.333
10 Cu 0.000 0.000 0.500
11 Cu 0.333 0.667 0.167
12 Cu 0.667 0.333 0.833

Density functional theory data (GGA-PBE) for Dy4InCu after structural relaxation.

Calculated values
Formation energy from the elements in eV/atom: -0.062
ΔE to the lowest computed polymorph in eV per atom: 0.157
DOS(E_F) in states/eV/cell: 13.40
Mass density in kg/m3: 8466
SG: No. 14

Lattice parameters (Å, degrees): 6.359 8.975 5.952 90.00 106.92 90.00
Element x y z (fractional)
1 Dy 0.106 0.169 0.122
2 Dy 0.106 0.331 0.622
3 Dy 0.371 0.655 0.938
4 Dy 0.371 0.845 0.438
5 Dy 0.629 0.155 0.562
6 Dy 0.629 0.345 0.062
7 Dy 0.894 0.669 0.378
8 Dy 0.894 0.831 0.878
9 In 0.500 0.000 0.000
10 In 0.500 0.500 0.500
11 Cu 0.000 0.000 0.500
12 Cu 0.000 0.500 0.000

Density functional theory data (GGA-PBE) for DyInCu4 after structural relaxation.

Calculated values
Formation energy from the elements in eV/atom: -0.282
DOS(E_F) in states/eV/cell: 1.40
Mass density in kg/m3: 9271
SG: No. 216

Lattice parameters (Å, degrees): 5.125 5.125 5.125 60.00 60.00 60.00
Element x y z (fractional)
1 Dy 0.000 0.000 0.000
2 In 0.250 0.250 0.250
3 Cu 0.126 0.625 0.625
4 Cu 0.625 0.126 0.625
5 Cu 0.625 0.625 0.126
6 Cu 0.625 0.625 0.625

Density functional theory data (GGA-PBE) for Dy11In9Cu4 after structural relaxation.

Calculated values
Formation energy from the elements in eV/atom: -0.442
DOS(E_F) in states/eV/cell: 15.02
Mass density in kg/m3: 8729
SG: No. 65

Lattice parameters (Å, degrees): 13.090 13.090 3.702 90.00 90.00 112.74
Element x y z (fractional)
1 Dy 0.000 0.000 0.000
2 Dy 0.073 0.415 0.000
3 Dy 0.161 0.839 0.000
4 Dy 0.308 0.308 0.000
5 Dy 0.372 0.628 0.000
6 Dy 0.415 0.073 0.000
7 Dy 0.585 0.927 0.000
8 Dy 0.628 0.372 0.000
9 Dy 0.692 0.692 0.000
10 Dy 0.839 0.161 0.000
11 Dy 0.927 0.585 0.000
12 In 0.074 0.218 0.500
13 In 0.157 0.631 0.500
14 In 0.218 0.074 0.500
15 In 0.369 0.843 0.500
16 In 0.500 0.500 0.500
17 In 0.631 0.157 0.500
18 In 0.782 0.926 0.500
19 In 0.843 0.369 0.500
20 In 0.926 0.782 0.500
21 Cu 0.250 0.450 0.500
22 Cu 0.450 0.250 0.500
23 Cu 0.550 0.750 0.500
24 Cu 0.750 0.550 0.500

Density functional theory data (GGA-PBE) for Dy2In3Cu after structural relaxation.

Calculated values
Formation energy from the elements in eV/atom: -0.386
ΔE to the lowest computed polymorph in eV per atom: 0.019
DOS(E_F) in states/eV/cell: 3.62
Mass density in kg/m3: 8519
SG: No. 25

Lattice parameters (Å, degrees): 3.606 4.764 8.318 90.00 90.00 90.00
Element x y z (fractional)
1 Dy 0.000 0.000 0.000
2 Dy 0.000 0.500 0.478
3 In 0.500 0.000 0.631
4 In 0.500 0.500 0.169
5 In 0.500 0.500 0.823
6 Cu 0.500 0.000 0.312

Density functional theory data (GGA-PBE) for Dy4InCu3 after structural relaxation.

Calculated values
Formation energy from the elements in eV/atom: -0.283
DOS(E_F) in states/eV/cell: 3.72
Mass density in kg/m3: 8864
SG: No. 166

Lattice parameters (Å, degrees): 8.697 8.697 8.697 33.55 33.55 33.55
Element x y z (fractional)
1 Dy 0.118 0.118 0.118
2 Dy 0.369 0.369 0.369
3 Dy 0.631 0.631 0.631
4 Dy 0.882 0.882 0.882
5 In 0.500 0.500 0.500
6 Cu 0.000 0.000 0.000
7 Cu 0.244 0.244 0.244
8 Cu 0.756 0.756 0.756

Density functional theory data (GGA-PBE) for Dy8InCu2 after structural relaxation.

Calculated values
Formation energy from the elements in eV/atom: -0.157
ΔE to the lowest computed polymorph in eV per atom: 0.000
DOS(E_F) in states/eV/cell: 9.54
Mass density in kg/m3: 8669
SG: No. 12

Lattice parameters (Å, degrees): 8.811 8.811 7.686 113.14 113.14 32.87
Element x y z (fractional)
1 Dy 0.049 0.049 0.255
2 Dy 0.182 0.182 0.779
3 Dy 0.315 0.315 0.520
4 Dy 0.402 0.402 0.026
5 Dy 0.598 0.598 0.974
6 Dy 0.685 0.685 0.480
7 Dy 0.818 0.818 0.221
8 Dy 0.951 0.951 0.745
9 In 0.500 0.500 0.500
10 Cu 0.191 0.191 0.151
11 Cu 0.809 0.809 0.849

Density functional theory data (GGA-PBE) for Dy2InCu3 after structural relaxation.

Calculated values
Formation energy from the elements in eV/atom: -0.250
DOS(E_F) in states/eV/cell: 8.42
Mass density in kg/m3: 8628
SG: No. 69

Lattice parameters (Å, degrees): 8.968 8.535 5.664 75.32 67.02 37.66
Element x y z (fractional)
1 Dy 0.239 0.761 0.761
2 Dy 0.250 0.250 0.250
3 Dy 0.750 0.750 0.750
4 Dy 0.761 0.239 0.239
5 In 0.335 0.335 0.665
6 In 0.665 0.665 0.335
7 Cu 0.162 0.677 0.323
8 Cu 0.163 0.163 0.837
9 Cu 0.323 0.838 0.162
10 Cu 0.677 0.162 0.838
11 Cu 0.837 0.837 0.163
12 Cu 0.838 0.323 0.677

Density functional theory data (GGA-PBE) for DyIn2Cu after structural relaxation.

Calculated values
Formation energy from the elements in eV/atom: -0.183
DOS(E_F) in states/eV/cell: 2.53
Mass density in kg/m3: 8694
SG: No. 123

Lattice parameters (Å, degrees): 3.377 3.377 7.632 90.00 90.00 90.00
Element x y z (fractional)
1 Dy 0.000 0.000 0.000
2 In 0.500 0.500 0.294
3 In 0.500 0.500 0.706
4 Cu 0.000 0.000 0.500

Density functional theory data (GGA-PBE) for Dy5In4Cu after structural relaxation.

Calculated values
Formation energy from the elements in eV/atom: -0.428
DOS(E_F) in states/eV/cell: 6.55
Mass density in kg/m3: 8700
SG: No. 123

Lattice parameters (Å, degrees): 3.543 3.543 20.305 90.00 90.00 90.00
Element x y z (fractional)
1 Dy 0.000 0.000 0.000
2 Dy 0.000 0.000 0.208
3 Dy 0.000 0.000 0.417
4 Dy 0.000 0.000 0.583
5 Dy 0.000 0.000 0.792
6 In 0.500 0.500 0.104
7 In 0.500 0.500 0.313
8 In 0.500 0.500 0.687
9 In 0.500 0.500 0.896
10 Cu 0.500 0.500 0.500

Density functional theory data (GGA-PBE) for Dy6InCu after structural relaxation.

Calculated values
Formation energy from the elements in eV/atom: 0.127
DOS(E_F) in states/eV/cell: 9.88
Mass density in kg/m3: 7713
SG: No. 148

Lattice parameters (Å, degrees): 6.845 6.845 6.845 64.32 64.32 64.32
Element x y z (fractional)
1 Dy 0.060 0.730 0.472
2 Dy 0.270 0.528 0.940
3 Dy 0.472 0.060 0.730
4 Dy 0.528 0.940 0.270
5 Dy 0.730 0.472 0.060
6 Dy 0.940 0.270 0.528
7 In 0.000 0.000 0.000
8 Cu 0.500 0.500 0.500

Density functional theory data (GGA-PBE) for DyIn2Cu after structural relaxation.

Calculated values
Formation energy from the elements in eV/atom: -0.242
DOS(E_F) in states/eV/cell: 2.88
Mass density in kg/m3: 8545
SG: No. 123

Lattice parameters (Å, degrees): 4.443 4.443 4.485 90.00 90.00 90.00
Element x y z (fractional)
1 Dy 0.000 0.000 0.000
2 In 0.000 0.500 0.500
3 In 0.500 0.000 0.500
4 Cu 0.500 0.500 0.000

Density functional theory data (GGA-PBE) for Dy3InCu2 after structural relaxation.

Calculated values
Formation energy from the elements in eV/atom: -0.320
DOS(E_F) in states/eV/cell: 3.25
Mass density in kg/m3: 8861
SG: No. 123

Lattice parameters (Å, degrees): 3.479 3.479 11.294 90.00 90.00 90.00
Element x y z (fractional)
1 Dy 0.000 0.000 0.000
2 Dy 0.000 0.000 0.307
3 Dy 0.000 0.000 0.693
4 In 0.500 0.500 0.500
5 Cu 0.500 0.500 0.155
6 Cu 0.500 0.500 0.845

Density functional theory data (GGA-PBE) for Dy3InCu8 after structural relaxation.

Calculated values
Formation energy from the elements in eV/atom: -0.213
DOS(E_F) in states/eV/cell: 7.60
Mass density in kg/m3: 9290
SG: No. 160

Lattice parameters (Å, degrees): 9.029 9.029 9.029 33.39 33.39 33.39
Element x y z (fractional)
1 Dy 0.000 0.000 0.000
2 Dy 0.125 0.125 0.125
3 Dy 0.618 0.618 0.618
4 In 0.494 0.494 0.494
5 Cu 0.058 0.058 0.565
6 Cu 0.058 0.565 0.058
7 Cu 0.059 0.559 0.559
8 Cu 0.309 0.309 0.309
9 Cu 0.559 0.059 0.559
10 Cu 0.559 0.559 0.059
11 Cu 0.565 0.058 0.058
12 Cu 0.810 0.810 0.810

Density functional theory data (GGA-PBE) for Dy4In5Cu2 after structural relaxation.

Calculated values
Formation energy from the elements in eV/atom: -0.388
DOS(E_F) in states/eV/cell: 8.14
Mass density in kg/m3: 8412
SG: No. 10

Lattice parameters (Å, degrees): 7.689 3.661 9.504 90.00 94.46 90.00
Element x y z (fractional)
1 Dy 0.188 0.000 0.354
2 Dy 0.222 0.000 0.935
3 Dy 0.778 0.000 0.065
4 Dy 0.812 0.000 0.646
5 In 0.161 0.500 0.647
6 In 0.453 0.500 0.172
7 In 0.500 0.500 0.500
8 In 0.547 0.500 0.828
9 In 0.839 0.500 0.353
10 Cu 0.069 0.500 0.128
11 Cu 0.931 0.500 0.872

Density functional theory data (GGA-PBE) for DyIn2Cu after structural relaxation.

Calculated values
Formation energy from the elements in eV/atom: -0.366
DOS(E_F) in states/eV/cell: 4.55
Mass density in kg/m3: 8692
SG: No. 139

Lattice parameters (Å, degrees): 4.620 4.620 16.317 90.00 90.00 90.00
Element x y z (fractional)
1 Dy 0.000 0.000 0.138
2 Dy 0.000 0.000 0.862
3 Dy 0.500 0.500 0.362
4 Dy 0.500 0.500 0.638
5 In 0.000 0.000 0.346
6 In 0.000 0.000 0.654
7 In 0.000 0.500 0.000
8 In 0.000 0.500 0.500
9 In 0.500 0.000 0.000
10 In 0.500 0.000 0.500
11 In 0.500 0.500 0.154
12 In 0.500 0.500 0.846
13 Cu 0.000 0.500 0.250
14 Cu 0.000 0.500 0.750
15 Cu 0.500 0.000 0.250
16 Cu 0.500 0.000 0.750

Density functional theory data (GGA-PBE) for DyIn2Cu9 after structural relaxation.

Calculated values
Formation energy from the elements in eV/atom: -0.136
DOS(E_F) in states/eV/cell: 4.61
Mass density in kg/m3: 8903
SG: No. 166

Lattice parameters (Å, degrees): 8.632 8.632 8.632 34.05 34.05 34.05
Element x y z (fractional)
1 Dy 0.000 0.000 0.000
2 In 0.140 0.140 0.140
3 In 0.860 0.860 0.860
4 Cu 0.081 0.585 0.585
5 Cu 0.333 0.333 0.333
6 Cu 0.415 0.415 0.919
7 Cu 0.415 0.919 0.415
8 Cu 0.500 0.500 0.500
9 Cu 0.585 0.081 0.585
10 Cu 0.585 0.585 0.081
11 Cu 0.667 0.667 0.667
12 Cu 0.919 0.415 0.415

Density functional theory data (GGA-PBE) for Dy4InCu after structural relaxation.

Calculated values
Formation energy from the elements in eV/atom: -0.219
ΔE to the lowest computed polymorph in eV per atom: 0.000
DOS(E_F) in states/eV/cell: 11.89
Mass density in kg/m3: 8577
SG: No. 11

Lattice parameters (Å, degrees): 5.342 7.025 8.656 90.00 99.08 90.00
Element x y z (fractional)
1 Dy 0.149 0.250 0.049
2 Dy 0.213 0.750 0.373
3 Dy 0.320 0.515 0.744
4 Dy 0.320 0.985 0.744
5 Dy 0.680 0.015 0.256
6 Dy 0.680 0.485 0.256
7 Dy 0.787 0.250 0.627
8 Dy 0.851 0.750 0.951
9 In 0.230 0.250 0.418
10 In 0.770 0.750 0.582
11 Cu 0.361 0.750 0.053
12 Cu 0.639 0.250 0.947